Entry 1:
First-principles (PBE-GGA) data for an optimized crystal structure of Rb2VPtRh, as listed in Alexandria via LeMat-Bulk.

The structure in CIF format:
```
data_Rb2VPtRh
_cell_length_a 6.2273
_cell_length_b 6.2273
_cell_length_c 4.7994
_cell_angle_alpha 90.00
_cell_angle_beta 90.00
_cell_angle_gamma 90.00
_space_group_name_H-M_alt 'P 4/m m m'
_space_group_IT_number 123
_space_group_name_Hall '-P 4 2'
loop_
_atom_site_label
_atom_site_fract_x
_atom_site_fract_y
_atom_site_fract_z
Rb1 0.0000 0.5000 0.0000
V1 0.0000 0.0000 0.5000
Pt1 0.5000 0.5000 0.5000
Rh1 0.5000 0.5000 0.0000
```

M_tot, μB/f.u.: 4.4
E_form, eV per atom: 1.269

=====

Entry 2:
First-principles (PBE-GGA) data for an optimized crystal structure of Ga2TeSe4, as listed in Alexandria via LeMat-Bulk.

The structure in CIF format:
```
data_Ga2TeSe4
_cell_length_a 7.7610
_cell_length_b 7.7610
_cell_length_c 6.5050
_cell_angle_alpha 90.00
_cell_angle_beta 90.00
_cell_angle_gamma 90.00
_space_group_name_H-M_alt 'I 4/m'
_space_group_IT_number 87
_space_group_name_Hall '-I 4'
loop_
_atom_site_label
_atom_site_fract_x
_atom_site_fract_y
_atom_site_fract_z
Ga1 0.0000 0.5000 0.2500
Te1 0.0000 0.0000 0.0000
Se1 0.1651 0.3280 0.0000
```

Formation energy (no corrections), meV/atom: -433
M_tot, μB/f.u.: 0.0

=====

Entry 3:
First-principles (PBE-GGA) data for an optimized crystal structure of NiAgAu2, as listed in Alexandria via LeMat-Bulk.

The structure in CIF format:
```
data_NiAgAu2
_cell_length_a 2.8549
_cell_length_b 2.8549
_cell_length_c 27.8885
_cell_angle_alpha 90.00
_cell_angle_beta 90.00
_cell_angle_gamma 120.00
_space_group_name_H-M_alt 'R 3 m'
_space_group_IT_number 160
_space_group_name_Hall 'R 3 -2"'
loop_
_atom_site_label
_atom_site_fract_x
_atom_site_fract_y
_atom_site_fract_z
Ni1 0.0000 0.0000 0.0000
Ag1 0.0000 0.0000 0.2568
Au1 0.0000 0.0000 0.5007
Au2 0.0000 0.0000 0.7425
```

Offset from the most stable computed form, meV/atom: 111.8
M_tot, μB/f.u.: 0.0
E_form, eV per atom: 0.139